[1]
# Sr6Pd2Rh | Alexandria via LeMat-Bulk | GGA-PBE | optimized geometry
data_Sr6Pd2Rh
_cell_length_a 7.238
_cell_length_b 8.168
_cell_length_c 12.951
_cell_angle_alpha 90.00
_cell_angle_beta 123.60
_cell_angle_gamma 90.00
_space_group_name_H-M_alt 'P 1 21/c 1'
_space_group_IT_number 14
_space_group_name_Hall '-P 2ybc'
loop_
_atom_site_label
_atom_site_fract_x
_atom_site_fract_y
_atom_site_fract_z
_atom_site_occupancy
Sr1 0.098 0.182 0.435 1
Sr2 0.256 0.668 0.425 1
Sr3 0.399 0.047 0.248 1
Pd1 0.189 0.115 0.737 1
Rh1 0.000 0.000 0.000 1
# **Density**: 4.38 g/cm³
# **Total magnetization**: 0.0 Bohr magnetons per cell
# **Crystal system**: monoclinic
# **Density of states at the Fermi level**: 5.01 states/eV/f.u.

[2]
# Tb2NdDy3Bi6 | Alexandria via LeMat-Bulk | GGA-PBE | optimized geometry
data_Tb2NdDy3Bi6
_cell_length_a 19.625
_cell_length_b 4.504
_cell_length_c 9.008
_cell_angle_alpha 90.00
_cell_angle_beta 103.20
_cell_angle_gamma 90.00
_space_group_name_H-M_alt 'C 1 2/m 1'
_space_group_IT_number 12
_space_group_name_Hall '-C 2y'
loop_
_atom_site_label
_atom_site_fract_x
_atom_site_fract_y
_atom_site_fract_z
_atom_site_occupancy
Tb1 0.167 0.000 0.333 1
Nd1 0.000 0.500 0.000 1
Dy1 0.000 0.500 0.500 1
Dy2 0.166 0.000 0.832 1
Bi1 0.000 0.000 0.256 1
Bi2 0.166 0.500 0.584 1
Bi3 0.169 0.500 0.084 1
# **Density**: 9.44 g/cm³
# **Total magnetization**: 0.0 Bohr magnetons per cell
# **Crystal system**: monoclinic
# **Density of states at the Fermi level**: 2.01 states/eV/f.u.

Values for calculated formation energy, eV/f.u., ordered as above
-3.262 -10.547
Values for E, eV per atom, ordered as above
-3.454 -5.139